[1]
The following is a PBE calculation of a relaxed La4Sm2Y5 crystal, from the Alexandria database.

Values from the calculation:
density of states at the Fermi level	17.82	states/eV/cell
energy of formation from the pure elements	0.92	eV/f.u.
DFT total energy	-60.5	eV per cell

a b c (Å): 3.5601 11.8951 9.1349
angles (deg): 94.44 101.24 90.00
Sites, in units of the cell vectors:
Y  0.9033  0.4591  0.8065
Y  0.1783  0.0702  0.3566
La  0.9621  0.7387  0.9242
Y  0.0967  0.5409  0.1935
Y  0.8217  0.9298  0.6434
La  0.3593  0.2026  0.7186
La  0.0379  0.2613  0.0758
La  0.6407  0.7974  0.2814
Sm  0.7149  0.3549  0.4298
Y  0.5000  0.0000  0.0000
Sm  0.2851  0.6451  0.5702


[2]
The following is a PBE calculation of a relaxed La5Sm8Y crystal, from the Alexandria database.

Values from the calculation:
density of states at the Fermi level	21.53	states/eV/cell
energy of formation from the pure elements	3.14	eV/f.u.
DFT total energy	-65.7	eV per cell

a b c (Å): 8.6371 8.6371 8.6371
angles (deg): 110.85 106.75 110.85
Sites, in units of the cell vectors:
Sm  0.9220  0.0978  0.6624
La  0.2928  0.1082  0.9701
La  0.5000  0.0000  0.5000
Sm  0.1758  0.7404  0.0780
Sm  0.7289  0.2549  0.3295
Sm  0.6705  0.3995  0.9254
Sm  0.0746  0.7451  0.4741
Y  0.2500  0.5000  0.7500
La  0.8154  0.6773  0.7072
Sm  0.5259  0.6005  0.2711
La  0.8619  0.8918  0.1846
La  0.0299  0.3227  0.1381
Sm  0.3376  0.2596  0.4354
Sm  0.5646  0.9022  0.8242


[3]
The following is a PBE calculation of a relaxed La7SmY3 crystal, from the Alexandria database.

Values from the calculation:
density of states at the Fermi level	17.42	states/eV/cell
energy of formation from the pure elements	1.90	eV/f.u.
DFT total energy	-56.7	eV per cell

a b c (Å): 8.7356 7.3112 7.3112
angles (deg): 120.00 90.00 90.00
Sites, in units of the cell vectors:
La  0.4624  0.3295  0.1647
La  0.1030  0.6702  0.8351
La  0.1030  0.1649  0.3298
Y  0.7824  0.4997  0.9993
La  0.4624  0.8353  0.6705
La  0.1328  0.6667  0.3333
Sm  0.4389  0.3333  0.6667
La  0.4624  0.8353  0.1647
Y  0.7824  0.0007  0.5003
Y  0.7824  0.4997  0.5003
La  0.1030  0.1649  0.8351


[4]
The following is a PBE calculation of a relaxed La2Sm2Y3 crystal, from the Alexandria database.

Values from the calculation:
density of states at the Fermi level	23.55	states/eV/cell
energy of formation from the pure elements	1.20	eV/f.u.
DFT total energy	-75.0	eV per cell

a b c (Å): 6.9202 12.3995 5.6954
angles (deg): 90.00 90.00 90.00
Sites, in units of the cell vectors:
Y  0.5000  0.5000  0.0000
Y  0.2785  0.9810  0.5000
La  0.9103  0.7909  0.5000
Y  0.2215  0.4810  0.5000
Sm  0.4576  0.1444  0.0000
Y  0.7785  0.5190  0.5000
Y  0.0000  0.0000  0.0000
Y  0.7215  0.0190  0.5000
Sm  0.9576  0.3556  0.0000
La  0.5897  0.2909  0.5000
Sm  0.5424  0.8556  0.0000
La  0.0897  0.2091  0.5000
Sm  0.0424  0.6444  0.0000
La  0.4103  0.7091  0.5000


[5]
The following is a PBE calculation of a relaxed LaSm12Y7 crystal, from the Alexandria database.

Values from the calculation:
density of states at the Fermi level	37.60	states/eV/cell
energy of formation from the pure elements	1.96	eV/f.u.
DFT total energy	-104.8	eV per cell

a b c (Å): 8.8748 8.8748 8.8748
angles (deg): 98.31 98.31 98.31
Each line ends with the local moment (μB).
Sites, in units of the cell vectors:
Sm  0.2381  0.5000  0.7620  0.05
Y  0.1014  0.1014  0.6583  0.14
Sm  0.0888  0.3587  0.3587  0.02
Sm  0.3587  0.3587  0.0888  0.02
Y  0.6583  0.1014  0.1014  0.14
Sm  0.9112  0.6413  0.6413  0.02
Sm  0.3587  0.0888  0.3587  0.02
Sm  0.6413  0.6413  0.9112  0.02
Sm  0.5000  0.2380  0.7619  0.05
Sm  0.7620  0.2381  0.5000  0.05
Sm  0.2380  0.7619  0.5000  0.05
Y  0.5000  0.5000  0.5000  0.02
Y  0.8986  0.8986  0.3417  0.14
Sm  0.6413  0.9112  0.6413  0.02
Sm  0.7619  0.5000  0.2380  0.05
Y  0.1014  0.6583  0.1014  0.14
Y  0.3417  0.8986  0.8986  0.14
Sm  0.5000  0.7620  0.2381  0.05
Y  0.8986  0.3417  0.8986  0.14
La  0.0000  0.0000  0.0000  0.31


[6]
The following is a PBE calculation of a relaxed La2Sm7Y2 crystal, from the Alexandria database.

Values from the calculation:
density of states at the Fermi level	17.13	states/eV/cell
energy of formation from the pure elements	0.21	eV/f.u.
DFT total energy	-55.6	eV per cell

a b c (Å): 8.1532 6.2949 8.1373
angles (deg): 104.98 107.33 97.44
Sites, in units of the cell vectors:
Sm  0.5912  0.4540  0.8181
Sm  0.2283  0.6355  0.5447
Y  0.0438  0.7272  0.9095
Y  0.9562  0.2728  0.0905
Sm  0.3195  0.0911  0.3635
Sm  0.4088  0.5460  0.1819
Sm  0.6805  0.9089  0.6365
Sm  0.5000  0.0000  0.0000
La  0.8623  0.8197  0.2732
La  0.1377  0.1803  0.7268
Sm  0.7717  0.3645  0.4553